[1]
A geometry-optimized MgNiW structure. Source: the Alexandria database, functional GGA-PBE.

Cell lengths 4.3676, 4.9459, 4.5739 Å; angles 90.00, 90.00, 116.08 degrees
Last column: nearest neighbours and their distance in Å.
Element x y z (fractional)
1 Ni 0.3211 0.1875 0.9723  4 Mg 2.59, 4 W 2.69
2 Ni 0.8208 0.1875 0.4723  4 W 2.60, 4 Mg 2.68
3 Mg 0.9778 0.5008 0.9723  4 Ni 2.59-2.68, 3 Mg 2.74-2.78, 2 W 2.82
4 Mg 0.6643 0.8742 0.9723  4 Ni 2.59-2.68, 3 Mg 2.74-2.78, 2 W 2.82
5 W 0.1625 0.8704 0.4723  4 Ni 2.60-2.69, 3 W 2.72-2.82, 2 Mg 2.82
6 W 0.4793 0.5045 0.4723  4 Ni 2.60-2.69, 3 W 2.72-2.82, 2 Mg 2.82

The density is 9.99 g cm⁻³. The value obtained for the energy of formation is 0.224 eV per atom. Its space group is No. 10.

---

[2]
A geometry-optimized Ho3TcO7 structure. Source: the Alexandria database, functional GGA-PBE.

Cell lengths 6.4475, 6.4475, 7.3872 Å; angles 90.00, 90.00, 108.50 degrees
Last column: nearest neighbours and their distance in Å.
Element x y z (fractional)
1 Ho 0.5376 0.9998 0.2585  7 O 2.22-2.40
2 Ho 0.4624 0.0002 0.7585  7 O 2.22-2.40
3 Ho 0.0002 0.4624 0.2415  7 O 2.22-2.40
4 Ho 0.9998 0.5376 0.7415  7 O 2.22-2.40
5 Ho 0.4575 0.4575 0.5000  6 O 2.30-2.37
6 Ho 0.5425 0.5425 0.0000  6 O 2.30-2.37
7 O 0.3279 0.0821 0.4761  1 Tc 2.03, 1 Ho 2.27
8 O 0.6382 0.3618 0.2500  4 Ho 2.22-2.37
9 O 0.6721 0.9179 0.9761  1 Tc 2.03, 1 Ho 2.27
10 O 0.3050 0.0464 0.0419  1 Tc 1.91
11 O 0.6299 0.3701 0.7500  4 Ho 2.29-2.32
12 O 0.9536 0.6950 0.4581  1 Tc 1.91
13 O 0.0464 0.3050 0.9581  1 Tc 1.91
14 O 0.9270 0.0730 0.2500  2 Tc 2.00
15 O 0.0821 0.3279 0.5239  1 Tc 2.03, 1 Ho 2.27
16 O 0.0730 0.9270 0.7500  2 Tc 2.00
17 O 0.9179 0.6721 0.0239  1 Tc 2.03, 1 Ho 2.27
18 O 0.6950 0.9536 0.5419  1 Tc 1.91
19 O 0.3618 0.6382 0.7500  4 Ho 2.22-2.37
20 O 0.3701 0.6299 0.2500  4 Ho 2.29-2.32
21 Tc 0.0024 0.0024 0.0000  6 O 1.91-2.03
22 Tc 0.9976 0.9976 0.5000  6 O 1.91-2.03

The density is 8.04 g cm⁻³. The energy relative to the elements, uncorrected comes out at -2.91 eV/atom. Its space group is No. 20.

---

Repeat the first record exactly.
A geometry-optimized MgNiW structure. Source: the Alexandria database, functional GGA-PBE.

Cell lengths 4.3676, 4.9459, 4.5739 Å; angles 90.00, 90.00, 116.08 degrees
Last column: nearest neighbours and their distance in Å.
Element x y z (fractional)
1 Ni 0.3211 0.1875 0.9723  4 Mg 2.59, 4 W 2.69
2 Ni 0.8208 0.1875 0.4723  4 W 2.60, 4 Mg 2.68
3 Mg 0.9778 0.5008 0.9723  4 Ni 2.59-2.68, 3 Mg 2.74-2.78, 2 W 2.82
4 Mg 0.6643 0.8742 0.9723  4 Ni 2.59-2.68, 3 Mg 2.74-2.78, 2 W 2.82
5 W 0.1625 0.8704 0.4723  4 Ni 2.60-2.69, 3 W 2.72-2.82, 2 Mg 2.82
6 W 0.4793 0.5045 0.4723  4 Ni 2.60-2.69, 3 W 2.72-2.82, 2 Mg 2.82

The density is 9.99 g cm⁻³. The value obtained for the energy of formation is 0.224 eV per atom. Its space group is No. 10.